Here is an optimized crystal structure of CdHRh3 from Alexandria via LeMat-Bulk. Energies are from PBE.

Unit cell a=4.871 b=5.714 c=5.714 alpha=120.12 beta=107.16 gamma=72.84
Fractional positions:
Rh 0.304 0.633 0.978
Rh 0.304 0.630 0.454
Cd 0.278 0.142 0.470
H 0.651 0.253 0.359
Cd 0.819 0.895 0.716
H 0.447 0.784 0.827
Rh 0.793 0.880 0.205
Rh 0.793 0.407 0.732
Rh 0.793 0.404 0.208
Rh 0.304 0.157 0.981

As for the excess energy over the best structure of this formula in the dataset: 29.6 meV per atom. Its total energy is -0.38644 Ry per atom.

Here is an optimized crystal structure of CuHgTe2N from Alexandria via LeMat-Bulk. Energies are from PBE.

Unit cell a=5.644 b=5.644 c=3.512 alpha=90.00 beta=90.00 gamma=90.00
Site moments in Bohr magnetons follow the coordinates.
Fractional positions:
Cu 0.000 0.000 0.000  0.16
Te 0.000 0.500 0.000  0.01
N 0.000 0.000 0.500  0.55
Hg 0.500 0.500 0.500  -0.02
Te 0.500 0.000 0.000  0.01

As for the excess energy over the best structure of this formula in the dataset: 0.0 meV per atom. The raw formation energy comes out at 0.7249 eV per atom. Its total energy is -0.22611 Ry per atom.

Here is an optimized crystal structure of VGeAsBr from Alexandria via LeMat-Bulk. Energies are from PBE.

Unit cell a=3.827 b=3.826 c=7.852 alpha=89.70 beta=89.84 gamma=59.97
Site moments in Bohr magnetons follow the coordinates.
Fractional positions:
Ge 0.983 0.753 0.025  0.02
V 0.982 0.749 0.392  2.52
As 0.649 0.418 0.205  0.00
Br 0.316 0.080 0.582  -0.01

As for the excess energy over the best structure of this formula in the dataset: 0.0 meV per atom. The raw formation energy comes out at -0.1991 eV per atom. Its total energy is -0.38320 Ry per atom.

Here is an optimized crystal structure of Na3CdPb from Alexandria via LeMat-Bulk. Energies are from PBE.

Unit cell a=6.013 b=6.013 c=6.013 alpha=90.00 beta=90.00 gamma=90.00
Site moments in Bohr magnetons follow the coordinates.
Fractional positions:
Na 0.000 0.500 0.000  0.01
Cd 0.500 0.500 0.500  0.01
Pb 0.000 0.000 0.000  0.31
Na 0.500 0.000 0.000  0.00
Na 0.000 0.000 0.500  0.03

As for the excess energy over the best structure of this formula in the dataset: 285.4 meV per atom. Its total energy is -0.11351 Ry per atom. For the formation energy, the calculation gives 0.172 eV per atom.

Here is an optimized crystal structure of Li2CaMn from Alexandria via LeMat-Bulk. Energies are from PBE.

Unit cell a=4.991 b=4.991 c=4.991 alpha=60.00 beta=60.00 gamma=60.00
Site moments in Bohr magnetons follow the coordinates.
Fractional positions:
Ca 0.000 0.000 0.000  -0.09
Mn 0.500 0.500 0.500  3.95
Li 0.250 0.250 0.250  -0.05
Li 0.750 0.750 0.750  -0.05

As for the excess energy over the best structure of this formula in the dataset: 23.4 meV per atom. Its total energy is -0.25201 Ry per atom. For the formation energy, the calculation gives 0.321 eV per atom.

Here is an optimized crystal structure of Sr2Y from Alexandria via LeMat-Bulk. Energies are from PBE.

Unit cell a=9.051 b=9.051 c=9.051 alpha=154.78 beta=154.78 gamma=35.96
Site moments in Bohr magnetons follow the coordinates.
Fractional positions:
Y 0.000 0.000 0.000  0.33
Sr 0.656 0.656 0.000  0.03
Sr 0.344 0.344 0.000  0.03

As for the excess energy over the best structure of this formula in the dataset: 38.9 meV per atom. Its total energy is -0.22753 Ry per atom. For the formation energy, the calculation gives 0.180 eV per atom.

Here is an optimized crystal structure of Y2GaAu4 from Alexandria via LeMat-Bulk. Energies are from PBE.

Unit cell a=4.775 b=4.775 c=8.314 alpha=73.31 beta=73.31 gamma=90.00
Fractional positions:
Y 0.639 0.639 0.722
Au 0.000 0.500 0.000
Y 0.361 0.361 0.278
Au 0.500 0.000 0.000
Au 0.174 0.174 0.651
Au 0.826 0.826 0.349
Ga 0.000 0.000 0.000

Its total energy is -0.33094 Ry per atom. For the formation energy, the calculation gives -0.351 eV per atom.

Here is an optimized crystal structure of LiMoW from Alexandria via LeMat-Bulk. Energies are from PBE.

Unit cell a=7.178 b=7.178 c=7.178 alpha=158.98 beta=158.98 gamma=29.89
Fractional positions:
Li 0.001 0.001 0.000
Mo 0.333 0.333 0.000
W 0.666 0.666 0.000

As for the excess energy over the best structure of this formula in the dataset: 188.6 meV per atom. Its total energy is -0.59101 Ry per atom. For the formation energy, the calculation gives 0.525 eV per atom.

Here is an optimized crystal structure of TaPd8Au2 from Alexandria via LeMat-Bulk. Energies are from PBE.

Unit cell a=4.867 b=6.693 c=6.693 alpha=82.06 beta=77.71 gamma=77.71
Fractional positions:
Ta 0.000 0.000 0.000
Au 0.537 0.847 0.847
Pd 0.807 0.164 0.677
Pd 0.293 0.428 0.428
Pd 0.193 0.836 0.323
Pd 0.807 0.677 0.164
Pd 0.193 0.323 0.836
Pd 0.892 0.271 0.271
Pd 0.108 0.729 0.729
Au 0.463 0.153 0.153
Pd 0.707 0.572 0.572

As for the excess energy over the best structure of this formula in the dataset: 240.7 meV per atom. Its total energy is -0.38991 Ry per atom. For the formation energy, the calculation gives 0.145 eV per atom.

Here is an optimized crystal structure of FeAg2Cl4 from Alexandria via LeMat-Bulk. Energies are from PBE.

Unit cell a=5.117 b=5.117 c=7.227 alpha=69.27 beta=69.27 gamma=90.00
Site moments in Bohr magnetons follow the coordinates.
Fractional positions:
Cl 0.186 0.186 0.629  0.09
Fe 0.000 0.000 0.000  3.48
Ag 0.386 0.386 0.228  0.01
Cl 0.000 0.500 0.000  0.06
Cl 0.500 0.000 0.000  0.06
Cl 0.814 0.814 0.371  0.09
Ag 0.614 0.614 0.772  0.01

The raw formation energy comes out at -0.4095 eV per atom. Its total energy is -0.25638 Ry per atom.

Here is an optimized crystal structure of CaAuBr2 from Alexandria via LeMat-Bulk. Energies are from PBE.

Unit cell a=10.543 b=10.543 c=10.543 alpha=21.68 beta=21.68 gamma=21.68
Fractional positions:
Br 0.972 0.972 0.972
Au 0.750 0.750 0.750
Ca 0.250 0.250 0.250
Br 0.528 0.528 0.528

As for the excess energy over the best structure of this formula in the dataset: 69.1 meV per atom. The raw formation energy comes out at -0.9267 eV per atom. Its total energy is -0.22658 Ry per atom.

Here is an optimized crystal structure of BaPm2O4 from Alexandria via LeMat-Bulk. Energies are from PBE.

Unit cell a=3.602 b=10.692 c=12.514 alpha=90.00 beta=90.00 gamma=90.00
Fractional positions:
Ba 0.250 0.752 0.353
Pm 0.250 0.422 0.389
Pm 0.750 0.078 0.889
O 0.750 0.289 0.333
Pm 0.750 0.576 0.112
O 0.750 0.483 0.782
O 0.250 0.120 0.519
O 0.250 0.517 0.218
O 0.750 0.571 0.424
Pm 0.750 0.076 0.388
O 0.250 0.017 0.282
O 0.250 0.620 0.981
Pm 0.750 0.578 0.611
O 0.250 0.211 0.833
O 0.750 0.789 0.167
Pm 0.250 0.424 0.888
O 0.250 0.711 0.667
O 0.250 0.929 0.924
O 0.250 0.429 0.576
O 0.750 0.380 0.019
Pm 0.250 0.924 0.612
Ba 0.250 0.252 0.147
O 0.750 0.071 0.076
O 0.750 0.880 0.481
Pm 0.250 0.922 0.111
O 0.750 0.983 0.718
Ba 0.750 0.248 0.647
Ba 0.750 0.748 0.853

The raw formation energy comes out at -3.1552 eV per atom. Its total energy is -0.56009 Ry per atom.